Version a
The following is a PBE-GGA calculation of an optimized crystal structure of RbCdHg3, from Alexandria.

Unit cell a=5.7333 b=5.7333 c=5.7333 alpha=90.00 beta=90.00 gamma=90.00
Last column: nearest neighbours and their distance in Å.
Atoms (fractional coordinates):
Rb1 0.0000 0.0000 0.0000  12 Hg 4.05
Cd1 0.5000 0.5000 0.5000  6 Hg 2.87
Hg1 0.0000 0.5000 0.5000  2 Cd 2.87
Hg2 0.5000 0.0000 0.5000  2 Cd 2.87
Hg3 0.5000 0.5000 0.0000  2 Cd 2.87

Output
total magnetic moment: 0.0 μB per cell
D(E_F): 0.59 states/eV/atom
space-group type: No. 221

=====

Version b
The following is a PBE-GGA calculation of an optimized crystal structure of RbCdHg3, from Alexandria.

Unit cell a=6.9066 b=6.9066 c=6.9066 alpha=90.00 beta=90.00 gamma=90.00
Last column: nearest neighbours and their distance in Å.
Atoms (fractional coordinates):
Rb1 0.0000 0.0000 0.0000  6 Hg 3.45
Cd1 0.5000 0.5000 0.5000  12 Hg 4.88
Hg1 0.0000 0.0000 0.5000  2 Rb 3.45
Hg2 0.0000 0.5000 0.0000  2 Rb 3.45
Hg3 0.5000 0.0000 0.0000  2 Rb 3.45

Output
total magnetic moment: 0.0 μB per cell
D(E_F): 0.82 states/eV/atom
space-group type: No. 221

=====

The least stable of them is version b.

=====

Version a
The following is a PBE-GGA calculation of an optimized crystal structure of RbCd2Hg7, from Alexandria.

Unit cell a=8.5125 b=8.5125 c=5.8077 alpha=90.00 beta=90.00 gamma=119.42
Last column: nearest neighbours and their distance in Å.
Atoms (fractional coordinates):
Rb1 0.0000 0.0000 0.0000  10 Hg 3.72-4.15
Cd1 0.2934 0.7066 0.5000  7 Hg 2.91-3.06
Cd2 0.7066 0.2934 0.5000  7 Hg 2.91-3.06
Hg1 0.0687 0.2997 0.5000  2 Cd 3.02-3.06, 2 Hg 3.16-3.20
Hg2 0.2823 0.7177 0.0000  2 Cd 2.91
Hg3 0.2997 0.0687 0.5000  2 Cd 3.02-3.06, 2 Hg 3.16-3.20
Hg4 0.5000 0.5000 0.5000  2 Cd 3.04, 4 Hg 3.20
Hg5 0.7003 0.9313 0.5000  2 Cd 3.02-3.06, 2 Hg 3.16-3.20
Hg6 0.7177 0.2823 0.0000  2 Cd 2.91
Hg7 0.9313 0.7003 0.5000  2 Cd 3.02-3.06, 2 Hg 3.16-3.20

Output
total magnetic moment: 0.0 μB per cell
D(E_F): 0.35 states/eV/atom
space-group type: No. 65

=====

Version b
The following is a PBE-GGA calculation of an optimized crystal structure of RbCd2Hg7, from Alexandria.

Unit cell a=11.6957 b=11.6957 c=4.8012 alpha=90.00 beta=90.00 gamma=149.70
Last column: nearest neighbours and their distance in Å.
Atoms (fractional coordinates):
Rb1 0.0000 0.0000 0.0000  14 Hg 3.89-4.15
Cd1 0.2639 0.7361 0.5000  4 Hg 3.00-3.08, 2 Cd 3.12
Cd2 0.7361 0.2639 0.5000  4 Hg 3.00-3.08, 2 Cd 3.12
Hg1 0.1315 0.3667 0.5000  5 Hg 3.05-3.21, 1 Cd 3.08
Hg2 0.1840 0.8160 0.0000  2 Cd 3.00, 4 Hg 3.21
Hg3 0.3667 0.1315 0.5000  5 Hg 3.05-3.21, 1 Cd 3.08
Hg4 0.5000 0.5000 0.5000  4 Hg 3.07
Hg5 0.6333 0.8685 0.5000  5 Hg 3.05-3.21, 1 Cd 3.08
Hg6 0.8160 0.1840 0.0000  2 Cd 3.00, 4 Hg 3.21
Hg7 0.8685 0.6333 0.5000  5 Hg 3.05-3.21, 1 Cd 3.08

Output
total magnetic moment: 0.0 μB per cell
D(E_F): 0.26 states/eV/atom
space-group type: No. 65

=====

The least stable of them is version a.

=====

Version a
The following is a PBE-GGA calculation of an optimized crystal structure of Rb2CdHg4, from Alexandria.

Unit cell a=10.0292 b=10.0292 c=10.0292 alpha=146.87 beta=146.87 gamma=47.56
Last column: nearest neighbours and their distance in Å.
Atoms (fractional coordinates):
Rb1 0.1344 0.1344 0.0000  9 Hg 3.67-4.08
Rb2 0.8656 0.8656 0.0000  9 Hg 3.67-4.08
Cd1 0.5000 0.5000 0.0000  6 Hg 2.86-3.04
Hg1 0.0000 0.5000 0.5000  2 Cd 2.86
Hg2 0.3345 0.3345 0.0000  1 Cd 3.04
Hg3 0.5000 0.0000 0.5000  2 Cd 2.86
Hg4 0.6655 0.6655 0.0000  1 Cd 3.04

Output
total magnetic moment: 0.0 μB per cell
D(E_F): 0.86 states/eV/atom
space-group type: No. 139

=====

Version b
The following is a PBE-GGA calculation of an optimized crystal structure of Rb2CdHg4, from Alexandria.

Unit cell a=6.9121 b=7.2081 c=10.2460 alpha=90.00 beta=104.57 gamma=90.00
Last column: nearest neighbours and their distance in Å.
Atoms (fractional coordinates):
Rb1 0.1201 0.2500 0.4041  11 Hg 3.62-3.98, 1 Cd 3.84
Rb2 0.2772 0.7500 0.0179  9 Hg 3.58-3.96, 1 Cd 3.86
Rb3 0.7228 0.2500 0.9821  9 Hg 3.58-3.96, 1 Cd 3.86
Rb4 0.8799 0.7500 0.5959  11 Hg 3.62-3.98, 1 Cd 3.84
Cd1 0.1251 0.2500 0.7798  4 Hg 3.04-3.09
Cd2 0.8749 0.7500 0.2202  4 Hg 3.04-3.09
Hg1 0.2578 0.2500 0.0860  1 Cd 3.04, 2 Hg 3.18
Hg2 0.3032 0.7500 0.4029  1 Cd 3.08, 4 Hg 3.17-3.32
Hg3 0.4112 0.5301 0.6972  1 Cd 3.09, 4 Hg 3.17-3.32
Hg4 0.4112 0.9699 0.6972  1 Cd 3.09, 4 Hg 3.17-3.32
Hg5 0.5888 0.0301 0.3028  1 Cd 3.09, 4 Hg 3.17-3.32
Hg6 0.5888 0.4699 0.3028  1 Cd 3.09, 4 Hg 3.17-3.32
Hg7 0.6968 0.2500 0.5971  1 Cd 3.08, 4 Hg 3.17-3.32
Hg8 0.7422 0.7500 0.9140  1 Cd 3.04, 2 Hg 3.18

Output
total magnetic moment: 0.0 μB per cell
D(E_F): 0.50 states/eV/atom
space-group type: No. 11

=====

The least stable of them is version a.

=====

Version a
The following is a PBE-GGA calculation of an optimized crystal structure of RbCdHg2Sb, from Alexandria.

Unit cell a=7.2914 b=7.2914 c=7.2914 alpha=140.38 beta=139.99 gamma=57.58
Last column: nearest neighbours and their distance in Å.
Atoms (fractional coordinates):
Rb1 0.0000 0.0000 0.0000  8 Hg 3.79-4.12, 4 Sb 3.82, 4 Cd 4.05
Cd1 0.2507 0.7507 0.5000  2 Sb 2.99, 2 Hg 3.06
Hg1 0.6125 0.6125 0.0000  1 Sb 2.94, 2 Hg 2.98, 2 Cd 3.06
Hg2 0.7424 0.2424 0.5000  2 Hg 2.98, 2 Sb 3.07
Sb1 0.3826 0.3826 0.0000  3 Hg 2.94-3.07, 2 Cd 2.99

Output
total magnetic moment: 0.0 μB per cell
D(E_F): 0.50 states/eV/atom
space-group type: No. 44

=====

Version b
The following is a PBE-GGA calculation of an optimized crystal structure of RbCdHg2Sb, from Alexandria.

Unit cell a=5.8641 b=5.8641 c=5.8988 alpha=90.00 beta=90.00 gamma=90.00
Last column: nearest neighbours and their distance in Å.
Atoms (fractional coordinates):
Rb1 0.0000 0.0000 0.0000  4 Cd 4.15, 8 Hg 4.16
Cd1 0.5000 0.5000 0.0000  2 Sb 2.95
Hg1 0.0000 0.5000 0.5000  2 Sb 2.93
Hg2 0.5000 0.0000 0.5000  2 Sb 2.93
Sb1 0.5000 0.5000 0.5000  4 Hg 2.93, 2 Cd 2.95

Output
total magnetic moment: 0.0 μB per cell
D(E_F): 0.42 states/eV/atom
space-group type: No. 123

=====

The least stable of them is version b.

=====

Version a
The following is a PBE-GGA calculation of an optimized crystal structure of RbCdSnHg2, from Alexandria.

Unit cell a=6.0074 b=6.0074 c=5.5557 alpha=90.00 beta=90.00 gamma=90.00
Last column: nearest neighbours and their distance in Å.
Atoms (fractional coordinates):
Rb1 0.0000 0.0000 0.0000  8 Hg 4.09, 4 Cd 4.25
Cd1 0.5000 0.5000 0.0000  2 Sn 2.78
Sn1 0.5000 0.5000 0.5000  2 Cd 2.78, 4 Hg 3.00
Hg1 0.0000 0.5000 0.5000  2 Sn 3.00
Hg2 0.5000 0.0000 0.5000  2 Sn 3.00

Output
total magnetic moment: 0.0 μB per cell
D(E_F): 0.71 states/eV/atom
space-group type: No. 123

=====

Version b
The following is a PBE-GGA calculation of an optimized crystal structure of RbCdSnHg2, from Alexandria.

Unit cell a=5.7895 b=5.7895 c=5.5842 alpha=90.00 beta=90.00 gamma=90.00
Last column: nearest neighbours and their distance in Å.
Atoms (fractional coordinates):
Rb1 0.0000 0.0000 0.0000  8 Hg 4.02, 4 Sn 4.09
Cd1 0.5000 0.5000 0.5000  2 Sn 2.79, 4 Hg 2.89
Sn1 0.5000 0.5000 0.0000  2 Cd 2.79
Hg1 0.0000 0.5000 0.5000  2 Cd 2.89
Hg2 0.5000 0.0000 0.5000  2 Cd 2.89

Output
total magnetic moment: 0.0 μB per cell
D(E_F): 0.85 states/eV/atom
space-group type: No. 123

=====

The least stable of them is version b.